Record 1
Material: LaSm6Al2
Method: DFT, GGA-PBE
State: optimized geometry

Cell: 12.7754 3.8096 12.0411 Å, 90.00 109.24 90.00°
With the nearest neighbours (Å) after each atom.
Space group C2/m (No. 12)
One atom of each set of equivalent atoms:
La: 0.0000 0.0000 0.0000 [2 per cell]  4 Al 3.29
Sm: 0.0203 0.0000 0.3272 [4 per cell]  2 Al 3.14
Sm: 0.1867 0.5000 0.5838 [4 per cell]  2 Al 3.23, 4 Sm 3.47-3.54
Sm: 0.1912 0.5000 0.8737 [4 per cell]  2 Al 3.18, 5 Sm 3.47-3.53
Al: 0.1534 0.5000 0.2148 [4 per cell]  6 Sm 3.14-3.23, 2 La 3.29

Record 2
Material: LaSmAl
Method: DFT, GGA-PBE
State: optimized geometry

- E above lowest polymorph (meV/atom) = 19

Cell: 3.5470 3.5470 14.1062 Å, 90.00 90.00 90.00°
With the nearest neighbours (Å) after each atom.
Space group I4mm (No. 107)
One atom of each set of equivalent atoms:
La: 0.0000 0.0000 0.0000 [2 per cell]  4 Al 3.28, 4 La 3.55
Sm: 0.0000 0.0000 0.2891 [2 per cell]  4 Al 3.18, 4 Sm 3.55
Al: 0.0000 0.0000 0.6503 [2 per cell]  4 Sm 3.18, 4 La 3.28, 4 Al 3.55

Record 3
Material: La2SmAl
Method: DFT, GGA-PBE
State: optimized geometry

- E above lowest polymorph (meV/atom) = 49

Cell: 3.7487 3.7487 9.0047 Å, 90.00 90.00 90.00°
With the nearest neighbours (Å) after each atom.
Space group P4/mmm (No. 123)
One atom of each set of equivalent atoms:
La: 0.0000 0.0000 0.2108 [2 per cell]  4 Al 3.26
Sm: 0.5000 0.5000 0.5000 [1 per cell]  8 La 3.72, 4 Sm 3.75
Al: 0.5000 0.5000 0.0000 [1 per cell]  8 La 3.26

Record 4
Material: La2SmAl
Method: DFT, GGA-PBE
State: optimized geometry

- E above lowest polymorph (meV/atom) = 13

Cell: 6.9960 9.7984 7.0051 Å, 90.00 90.00 90.00°
With the nearest neighbours (Å) after each atom.
Space group Imma (No. 74)
One atom of each set of equivalent atoms:
La: 0.0000 0.0000 0.0000 [4 per cell]  4 La 3.48, 4 Sm 3.48, 4 Al 3.50
La: 0.2500 0.2500 0.2500 [4 per cell]  6 La 3.48-3.50, 4 Al 3.48, 2 Sm 3.50
Sm: 0.2500 0.2500 0.7500 [4 per cell]  6 La 3.48-3.50, 4 Al 3.48, 2 Sm 3.50
Al: 0.0000 0.0000 0.5000 [4 per cell]  8 La 3.48-3.50, 4 Sm 3.48

Record 5
Material: LaSm5Al2
Method: DFT, GGA-PBE
State: optimized geometry

Cell: 3.6890 10.4965 12.5361 Å, 90.00 90.00 90.00°
With the nearest neighbours (Å) after each atom.
Space group Immm (No. 71)
One atom of each set of equivalent atoms:
La: 0.0000 0.0000 0.0000 [2 per cell]  4 Al 3.46, 2 La 3.69
Sm: 0.0000 0.2204 0.3589 [8 per cell]  3 Al 3.16-3.35, 4 Sm 3.35-3.45
Sm: 0.0000 0.5000 0.0000 [2 per cell]  2 Al 3.33, 10 Sm 3.45-3.69
Al: 0.0000 0.5000 0.2660 [4 per cell]  7 Sm 3.16-3.35, 2 La 3.46

Record 6
Material: La2SmAl9
Method: DFT, GGA-PBE
State: optimized geometry

Cell: 5.6974 5.6974 26.8232 Å, 90.00 90.00 120.00°
With the nearest neighbours (Å) after each atom.
Space group R-3m (No. 166, hexagonal axes)
One atom of each set of equivalent atoms:
La: 0.0000 0.0000 0.1417 [6 per cell]  12 Al 3.28-3.38, 3 La 3.55
Sm: 0.0000 0.0000 0.0000 [3 per cell]  18 Al 3.29-3.59
Al: 0.0000 0.0000 0.3350 [6 per cell]  6 Al 2.71-2.75
Al: 0.0000 0.0000 0.5000 [3 per cell]  6 Al 2.84
Al: 0.0063 0.5032 0.9188 [18 per cell]  7 Al 2.71-2.90

Record 7
Material: La2SmAl2
Method: DFT, GGA-PBE
State: optimized geometry

- E above lowest polymorph (meV/atom) = 0

Cell: 5.0977 7.0398 7.9965 Å, 90.00 90.00 90.00°
With the nearest neighbours (Å) after each atom.
Space group Immm (No. 71)
One atom of each set of equivalent atoms:
La: 0.0000 0.0000 0.1958 [4 per cell]  1 La 3.13, 6 Al 3.25-3.29
Sm: 0.0000 0.5000 0.0000 [2 per cell]  4 Al 3.34, 4 La 3.52
Al: 0.0000 0.3061 0.5000 [4 per cell]  1 Al 2.73

Record 8
Material: La3SmAl4
Method: DFT, GGA-PBE
State: optimized geometry

Cell: 3.7714 3.7714 15.0776 Å, 90.00 90.00 90.00°
With the nearest neighbours (Å) after each atom.
Space group P4/mmm (No. 123)
One atom of each set of equivalent atoms:
La: 0.0000 0.0000 0.0000 [1 per cell]  8 Al 3.28
La: 0.0000 0.0000 0.2539 [2 per cell]  8 Al 3.29-3.31
Sm: 0.0000 0.0000 0.5000 [1 per cell]  8 Al 3.19
Al: 0.5000 0.5000 0.1266 [2 per cell]  8 La 3.28-3.29
Al: 0.5000 0.5000 0.3844 [2 per cell]  4 Sm 3.19, 4 La 3.31, 1 Al 3.49

Record 9
Material: La2SmAl2
Method: DFT, GGA-PBE
State: optimized geometry

- E above lowest polymorph (meV/atom) = 164

Cell: 6.3701 3.8139 12.9704 Å, 90.00 97.30 90.00°
With the nearest neighbours (Å) after each atom.
Space group P2_1/m (No. 11)
One atom of each set of equivalent atoms:
La: 0.0741 0.2500 0.3617 [2 per cell]  4 Al 3.18-3.46
La: 0.2300 0.7500 0.9296 [2 per cell]  4 Al 3.20-3.28
Sm: 0.4658 0.2500 0.7103 [2 per cell]  5 Al 3.10-3.30
Al: 0.2859 0.2500 0.1293 [2 per cell]  2 Sm 3.10, 5 La 3.20-3.46
Al: 0.3590 0.7500 0.5184 [2 per cell]  2 Al 2.70

Record 10
Material: La2Sm6Al
Method: DFT, GGA-PBE
State: optimized geometry

Cell: 17.6034 9.6742 3.5682 Å, 90.00 92.50 90.00°
With the nearest neighbours (Å) after each atom.
Space group C2/m (No. 12)
One atom of each set of equivalent atoms:
La: 0.1708 0.0000 0.4663 [4 per cell]  2 La 3.57, 10 Sm 3.63-3.81
Sm: 0.0000 0.2240 0.5000 [4 per cell]  2 Al 3.21, 4 Sm 3.45-3.57
Sm: 0.1630 0.3310 0.9888 [8 per cell]  6 Sm 3.27-3.62, 1 Al 3.30, 1 La 3.63
Al: 0.0000 0.5000 0.0000 [2 per cell]  8 Sm 3.21-3.30, 2 Al 3.57

Record 11
Material: LaSm4Al2
Method: DFT, GGA-PBE
State: optimized geometry

- E above lowest polymorph (meV/atom) = 91

Cell: 8.1937 6.5714 8.5298 Å, 90.00 116.91 90.00°
With the nearest neighbours (Å) after each atom.
Space group P2_1/m (No. 11)
One atom of each set of equivalent atoms:
La: 0.1856 0.2500 0.2445 [2 per cell]  4 Sm 3.22-3.45, 3 Al 3.26-3.35
Sm: 0.0600 0.2500 0.5553 [2 per cell]  2 Al 3.20-3.24, 5 Sm 3.20-3.44, 1 La 3.25
Sm: 0.2646 0.5087 0.9329 [4 per cell]  4 Sm 3.17-3.49, 3 Al 3.20-3.27, 1 La 3.45
Sm: 0.3743 0.7500 0.5875 [2 per cell]  4 Al 3.16-3.45, 1 Sm 3.20, 1 La 3.22
Al: 0.1116 0.7500 0.1694 [2 per cell]  1 Al 2.90, 4 Sm 3.23-3.24
Al: 0.4955 0.2500 0.7096 [2 per cell]  1 Al 2.90, 4 Sm 3.16-3.20

Record 12
Material: LaSmAl
Method: DFT, GGA-PBE
State: optimized geometry

- E above lowest polymorph (meV/atom) = 0

Cell: 5.4103 5.4103 6.8751 Å, 90.00 90.00 120.00°
With the nearest neighbours (Å) after each atom.
Space group P6_3/mmc (No. 194)
One atom of each set of equivalent atoms:
La: 0.0000 0.0000 0.0000 [2 per cell]  2 La 3.44, 6 Al 3.57, 6 Sm 3.57
Sm: 0.3333 0.6667 0.2500 [2 per cell]  5 Al 3.12-3.44
Al: 0.3333 0.6667 0.7500 [2 per cell]  5 Sm 3.12-3.44

Total magnetic moment (computed, μB/f.u.): 0.0 0.0 0.0 0.0 0.0 0.0 0.0 0.0 0.0 0.0 0.0 0.0
ΔE_f (computed, eV per atom): -0.143 -0.204 -0.141 -0.177 -0.086 -0.371 -0.302 -0.363 -0.139 0.078 -0.100 -0.223
N(E_F) (computed, states/eV/f.u.): 10.00 2.78 4.91 4.31 11.62 5.11 4.10 3.30 6.55 13.66 7.76 4.26